[1]
TbErMgSc (PBE, relaxed); E above lowest polymorph = 32.8 meV per atom; density = 6.0 g/cm³; calculated formation energy = 0.0283 eV/atom; total magnetic moment = 0.000 μB/f.u.
1.0
5.365 0.000 0.000
2.683 4.646 0.000
2.683 1.549 4.381
Tb Er Mg Sc
1 1 1 1
Cartesian
2.683 1.549 1.095 Tb
8.048 4.646 3.285 Er
5.365 3.098 2.190 Mg
0.000 0.000 0.000 Sc

---

[2]
TbErMgSc (PBE, relaxed); E above lowest polymorph = 0.0 meV per atom; density = 6.0 g/cm³; calculated formation energy = -0.0045 eV/atom; total magnetic moment = 0.000 μB/f.u.
1.0
3.448 0.000 0.296
-0.001 3.462 0.003
-0.785 -0.009 9.142
Er Mg Tb Sc
1 1 1 1
Cartesian
-0.079 1.481 5.310 Er
0.283 1.489 0.996 Mg
1.426 3.209 7.970 Tb
1.840 3.216 3.167 Sc

---

[3]
ErMgScTi (PBE, relaxed); density = 5.0 g/cm³; calculated formation energy = 0.1477 eV/atom; total magnetic moment = 2.322 μB/f.u.
1.0
5.104 0.000 0.000
2.552 4.420 0.000
2.552 1.473 4.167
Ti Mg Sc Er
1 1 1 1
Cartesian
7.656 4.420 3.125 Ti
2.552 1.473 1.042 Mg
0.000 0.000 0.000 Sc
5.104 2.947 2.084 Er

---

[4]
ErMgScTl (PBE, relaxed); density = 7.5 g/cm³; calculated formation energy = -0.1944 eV/atom; total magnetic moment = 0.002 μB/f.u.
1.0
-2.576 1.520 -4.222
-2.032 -3.523 -3.199
-5.132 -0.606 -0.258
Sc Er Mg Tl
1 1 1 1
Cartesian
0.000 0.000 0.000 Sc
-4.870 -1.305 -3.839 Er
-7.304 -1.957 -5.759 Mg
-2.435 -0.652 -1.920 Tl

---

[5]
Er2Tm4MgSc (PBE, relaxed); density = 7.8 g/cm³; calculated formation energy = 0.0343 eV/atom; total magnetic moment = 0.000 μB/f.u.
1.0
4.869 0.000 0.000
0.000 4.797 0.882
0.000 3.057 10.387
Er Sc Tm Mg
2 1 4 1
Cartesian
4.869 0.000 0.000 Er
2.435 1.529 5.193 Er
0.000 3.927 5.635 Sc
0.000 5.898 8.416 Tm
4.869 1.955 2.853 Tm
2.435 3.502 7.974 Tm
2.435 4.352 3.295 Tm
2.435 5.455 10.828 Mg

---

[6]
ErTmMgSc (PBE, relaxed); E above lowest polymorph = 41.9 meV per atom; density = 6.3 g/cm³; calculated formation energy = 0.0370 eV/atom; total magnetic moment = 0.000 μB/f.u.
1.0
5.333 0.000 0.000
2.666 4.618 0.000
2.666 1.539 4.354
Sc Mg Tm Er
1 1 1 1
Cartesian
0.000 0.000 0.000 Sc
5.333 3.079 2.177 Mg
2.666 1.539 1.089 Tm
7.999 4.618 3.266 Er

---

[7]
ErTmMgSc (PBE, relaxed); E above lowest polymorph = 0.0 meV per atom; density = 6.2 g/cm³; calculated formation energy = -0.0049 eV/atom; total magnetic moment = 0.002 μB/f.u.
1.0
-1.143 2.934 -1.394
-3.059 -0.463 1.535
4.092 1.678 8.659
Tm Sc Er Mg
1 1 1 1
Cartesian
0.517 2.157 5.022 Tm
-2.327 2.234 3.262 Sc
0.359 1.709 8.456 Er
-2.031 2.895 0.157 Mg

---

[8]
Y4Er2MgSc (PBE, relaxed); density = 5.3 g/cm³; calculated formation energy = 0.0326 eV/atom; total magnetic moment = 0.000 μB/f.u.
1.0
4.961 0.000 0.000
0.000 4.853 1.004
0.000 2.903 10.497
Sc Er Y Mg
1 2 4 1
Cartesian
4.961 3.878 5.751 Sc
2.480 6.304 6.252 Er
4.961 2.903 10.497 Er
4.961 1.934 2.900 Y
2.480 4.360 3.397 Y
2.480 3.396 8.104 Y
4.961 5.822 8.601 Y
2.480 5.329 10.998 Mg